DFT (GGA+U) results for a geometry-optimized SrVS2O8 structure. Values from VASP.

- Total moment: 3.00 μB/f.u.
- Calculated total energy: -6.6264 eV per atom

Cell and atoms, written as Quantum ESPRESSO input:
```
&SYSTEM
  ibrav = 0, nat = 12, ntyp = 4
/
ATOMIC_SPECIES
Sr 87.62 Sr.upf
V 50.94 V.upf
S 32.06 S.upf
O 16.00 O.upf
CELL_PARAMETERS angstrom
2.4458 1.4121 7.3063
-2.4458 1.4121 7.3063
0.0000 -2.8242 7.3063
ATOMIC_POSITIONS crystal
Sr 0.0000 0.0000 0.0000
V 0.5000 0.5000 0.5000
S 0.2483 0.2483 0.2483
S 0.7517 0.7517 0.7517
O 0.0639 0.7696 0.4839
O 0.2304 0.5161 0.9361
O 0.3166 0.3166 0.3166
O 0.4839 0.0639 0.7696
O 0.5161 0.9361 0.2304
O 0.6834 0.6834 0.6834
O 0.7696 0.4839 0.0639
O 0.9361 0.2304 0.5161
```